LiTm2Hf | PBE | relaxed

Lattice parameters (Å, degrees): 3.314 3.314 11.181 81.48 81.48 60.00
Sites, in units of the cell vectors:
Tm 0.755 0.755 0.736
Tm 0.245 0.245 0.264
Hf 0.500 0.500 0.500
Li 0.000 0.000 0.000

The calculation puts the size of the total moment at 0.000 μB/atom. The offset from the most stable computed form comes out at 0.034 eV per atom. Its energy of formation is 124 meV per atom.